Record 1
Entry from the Alexandria database: an optimized crystal structure of Zn2Cr (PBE).

Magnetic moment   1.139 μB/atom
Formation energy from the elements   420 meV per atom
Space group   P-62m, No. 189
Density   6.3 g/cm³

Lattice parameters (Å, degrees): 6.255 6.255 4.282 90.00 90.00 120.00
Atoms (fractional coordinates):
Zn 0.000 0.233 0.000
Zn 0.000 0.500 0.500
Zn 0.233 0.000 0.000
Zn 0.767 0.767 0.000
Zn 0.500 0.000 0.500
Zn 0.500 0.500 0.500
Cr 0.000 0.000 0.500
Cr 0.333 0.667 0.000
Cr 0.667 0.333 0.000

Record 2
Entry from the Alexandria database: an optimized crystal structure of Zn3Cr (PBE).

Magnetic moment   0.000 μB/atom
Formation energy from the elements   146 meV per atom
Space group   Cmmm, No. 65
Density   7.5 g/cm³

Lattice parameters (Å, degrees): 2.581 2.581 8.338 90.00 90.00 100.50
Atoms (fractional coordinates):
Cr 0.000 0.000 0.000
Zn 0.000 0.000 0.500
Zn 0.500 0.500 0.239
Zn 0.500 0.500 0.761

Record 3
Entry from the Alexandria database: an optimized crystal structure of Zn3Cr (PBE).

Magnetic moment   0.857 μB/atom
Formation energy from the elements   169 meV per atom
Space group   Pmmm, No. 47
Density   6.9 g/cm³

Lattice parameters (Å, degrees): 2.873 3.688 5.601 90.00 90.00 90.00
Atoms (fractional coordinates):
Cr 0.000 0.000 0.000
Zn 0.000 0.000 0.500
Zn 0.500 0.500 0.245
Zn 0.500 0.500 0.755

Record 4
Entry from the Alexandria database: an optimized crystal structure of ZnCr7 (PBE).

Magnetic moment   0.000 μB/atom
Formation energy from the elements   328 meV per atom
Space group   Fm-3m, No. 225
Density   7.5 g/cm³

Lattice parameters (Å, degrees): 5.134 5.134 5.134 60.00 60.00 60.00
Atoms (fractional coordinates):
Zn 0.000 0.000 0.000
Cr 0.000 0.500 0.500
Cr 0.500 0.000 0.500
Cr 0.500 0.500 0.000
Cr 0.000 0.000 0.500
Cr 0.000 0.500 0.000
Cr 0.500 0.000 0.000
Cr 0.500 0.500 0.500

Record 5
Entry from the Alexandria database: an optimized crystal structure of Zn2Cr (PBE).

Magnetic moment   0.006 μB/atom
Formation energy from the elements   230 meV per atom
Space group   Cmcm, No. 63
Density   7.5 g/cm³

Lattice parameters (Å, degrees): 7.355 7.355 4.364 90.00 90.00 160.08
Atoms (fractional coordinates):
Zn 0.384 0.616 0.750
Zn 0.058 0.942 0.750
Zn 0.942 0.058 0.250
Zn 0.616 0.384 0.250
Cr 0.722 0.278 0.750
Cr 0.278 0.722 0.250

Record 6
Entry from the Alexandria database: an optimized crystal structure of ZnCr3 (PBE).

Magnetic moment   0.000 μB/atom
Formation energy from the elements   275 meV per atom
Space group   P4/mmm, No. 123
Density   7.5 g/cm³

Lattice parameters (Å, degrees): 2.409 2.409 8.422 90.00 90.00 90.00
Atoms (fractional coordinates):
Cr 0.000 0.000 0.000
Cr 0.000 0.000 0.500
Cr 0.500 0.500 0.750
Zn 0.500 0.500 0.250

Record 7
Entry from the Alexandria database: an optimized crystal structure of ZnCr3 (PBE).

Magnetic moment   0.010 μB/atom
Formation energy from the elements   269 meV per atom
Space group   Pmmm, No. 47
Density   7.5 g/cm³

Lattice parameters (Å, degrees): 2.393 4.037 5.046 90.00 90.00 90.00
Atoms (fractional coordinates):
Cr 0.000 0.000 0.994
Cr 0.000 0.000 0.506
Cr 0.500 0.500 0.750
Zn 0.500 0.500 0.250

Record 8
Entry from the Alexandria database: an optimized crystal structure of ZnCr3 (PBE).

Magnetic moment   0.000 μB/atom
Formation energy from the elements   299 meV per atom
Space group   Cmmm, No. 65
Density   7.5 g/cm³

Lattice parameters (Å, degrees): 4.731 4.731 2.406 90.00 90.00 115.27
Atoms (fractional coordinates):
Cr 0.000 0.000 0.000
Cr 0.000 0.500 0.500
Cr 0.500 0.000 0.500
Zn 0.500 0.500 0.000

Record 9
Entry from the Alexandria database: an optimized crystal structure of Zn5Cr (PBE).

Magnetic moment   0.659 μB/atom
Formation energy from the elements   136 meV per atom
Space group   F-43m, No. 216
Density   7.0 g/cm³

Lattice parameters (Å, degrees): 5.039 5.039 5.039 60.00 60.00 60.00
Atoms (fractional coordinates):
Zn 0.876 0.375 0.375
Zn 0.750 0.750 0.750
Zn 0.375 0.876 0.375
Zn 0.375 0.375 0.375
Zn 0.375 0.375 0.876
Cr 0.000 0.000 0.000

Record 10
Entry from the Alexandria database: an optimized crystal structure of ZnCr3 (PBE).

Magnetic moment   0.000 μB/atom
Formation energy from the elements   357 meV per atom
Space group   P-6m2, No. 187
Density   7.4 g/cm³

Lattice parameters (Å, degrees): 2.530 2.530 8.911 90.00 90.00 120.00
Atoms (fractional coordinates):
Cr 0.000 0.000 0.006
Cr 0.000 0.000 0.494
Cr 0.333 0.667 0.250
Zn 0.333 0.667 0.750

Record 11
Entry from the Alexandria database: an optimized crystal structure of Zn2Cr (PBE).

Magnetic moment   1.329 μB/atom
Formation energy from the elements   810 meV per atom
Space group   Pa-3, No. 205
Density   5.1 g/cm³

Lattice parameters (Å, degrees): 6.195 6.195 6.195 90.00 90.00 90.00
Atoms (fractional coordinates):
Cr 0.000 0.000 0.000
Cr 0.000 0.500 0.500
Cr 0.500 0.000 0.500
Cr 0.500 0.500 0.000
Zn 0.125 0.625 0.875
Zn 0.125 0.875 0.375
Zn 0.375 0.125 0.875
Zn 0.375 0.375 0.375
Zn 0.625 0.625 0.625
Zn 0.625 0.875 0.125
Zn 0.875 0.125 0.625
Zn 0.875 0.375 0.125

Record 12
Entry from the Alexandria database: an optimized crystal structure of Zn5Cr (PBE).

Magnetic moment   0.543 μB/atom
Formation energy from the elements   101 meV per atom
Space group   Amm2, No. 38
Density   7.1 g/cm³

Lattice parameters (Å, degrees): 2.965 7.087 4.339 90.00 90.00 77.92
Atoms (fractional coordinates):
Cr 0.005 0.990 0.000
Zn 0.218 0.564 0.500
Zn 0.339 0.322 0.000
Zn 0.551 0.898 0.500
Zn 0.666 0.668 0.000
Zn 0.887 0.225 0.500

Record 13
Entry from the Alexandria database: an optimized crystal structure of Zn2Cr (PBE).

Magnetic moment   0.000 μB/atom
Formation energy from the elements   228 meV per atom
Space group   P-3m1, No. 164
Density   7.5 g/cm³

Lattice parameters (Å, degrees): 2.644 2.644 6.665 90.00 90.00 120.00
Atoms (fractional coordinates):
Cr 0.000 0.000 0.000
Zn 0.333 0.667 0.324
Zn 0.667 0.333 0.676

Record 14
Entry from the Alexandria database: an optimized crystal structure of Zn6Cr (PBE).

Magnetic moment   0.708 μB/atom
Formation energy from the elements   748 meV per atom
Space group   Im-3m, No. 229
Density   4.5 g/cm³

Lattice parameters (Å, degrees): 5.977 5.977 5.977 109.47 109.47 109.47
Atoms (fractional coordinates):
Zn 0.250 0.750 0.500
Zn 0.500 0.750 0.250
Zn 0.250 0.500 0.750
Zn 0.750 0.250 0.500
Zn 0.500 0.250 0.750
Zn 0.750 0.500 0.250
Cr 0.000 0.000 0.000

Record 15
Entry from the Alexandria database: an optimized crystal structure of Zn3Cr2 (PBE).

Magnetic moment   0.000 μB/atom
Formation energy from the elements   277 meV per atom
Space group   R-3m, No. 166
Density   7.5 g/cm³

Lattice parameters (Å, degrees): 11.178 11.178 11.178 13.50 13.50 13.50
Atoms (fractional coordinates):
Zn 0.000 0.000 0.000
Zn 0.797 0.797 0.797
Zn 0.203 0.203 0.203
Cr 0.601 0.601 0.601
Cr 0.399 0.399 0.399

Record 16
Entry from the Alexandria database: an optimized crystal structure of Zn15Cr (PBE).

Magnetic moment   0.236 μB/atom
Formation energy from the elements   27 meV per atom
Space group   P-6m2, No. 187
Density   7.2 g/cm³

Lattice parameters (Å, degrees): 5.477 5.477 9.177 90.00 90.00 120.00
Atoms (fractional coordinates):
Zn 0.000 0.000 0.500
Zn 0.998 0.499 0.000
Zn 0.999 0.500 0.500
Zn 0.501 0.002 0.000
Zn 0.500 0.001 0.500
Zn 0.501 0.499 0.000
Zn 0.500 0.500 0.500
Zn 0.834 0.166 0.246
Zn 0.834 0.166 0.754
Zn 0.834 0.669 0.246
Zn 0.834 0.669 0.754
Zn 0.331 0.166 0.246
Zn 0.331 0.166 0.754
Zn 0.333 0.667 0.251
Zn 0.333 0.667 0.749
Cr 0.000 0.000 0.000

Record 17
Entry from the Alexandria database: an optimized crystal structure of ZnCr3 (PBE).

Magnetic moment   0.000 μB/atom
Formation energy from the elements   212 meV per atom
Space group   R-3m, No. 166
Density   7.6 g/cm³

Lattice parameters (Å, degrees): 2.436 4.853 4.853 62.74 80.37 99.63
Atoms (fractional coordinates):
Cr 0.000 0.000 0.000
Cr 0.500 0.500 0.000
Cr 0.500 0.000 0.500
Zn 0.000 0.500 0.500

Record 18
Entry from the Alexandria database: an optimized crystal structure of ZnCr4 (PBE).

Magnetic moment   0.113 μB/atom
Formation energy from the elements   674 meV per atom
Relative energy among the computed polymorphs   410 meV per atom
Space group   I4/mmm, No. 139
Density   6.5 g/cm³

Lattice parameters (Å, degrees): 5.588 5.588 5.588 140.73 140.73 56.75
Atoms (fractional coordinates):
Zn 0.000 0.000 0.000
Cr 0.250 0.750 0.500
Cr 0.617 0.617 0.000
Cr 0.383 0.383 0.000
Cr 0.750 0.250 0.500

Record 19
Entry from the Alexandria database: an optimized crystal structure of ZnCr3 (PBE).

Magnetic moment   0.813 μB/atom
Formation energy from the elements   174 meV per atom
Space group   P4/mmm, No. 123
Density   7.0 g/cm³

Lattice parameters (Å, degrees): 2.952 2.952 6.013 90.00 90.00 90.00
Atoms (fractional coordinates):
Cr 0.000 0.000 0.018
Cr 0.000 0.000 0.482
Cr 0.500 0.500 0.250
Zn 0.500 0.500 0.750

Record 20
Entry from the Alexandria database: an optimized crystal structure of ZnCr3 (PBE).

Magnetic moment   0.000 μB/atom
Formation energy from the elements   182 meV per atom
Space group   P2/m, No. 10
Density   7.6 g/cm³

Lattice parameters (Å, degrees): 2.444 4.093 4.931 90.00 79.07 90.00
Atoms (fractional coordinates):
Cr 0.010 0.000 0.012
Cr 0.490 0.000 0.488
Cr 0.250 0.500 0.250
Zn 0.750 0.500 0.750